(1)
# BaTbFe, optimized geometry, DFT PBE
# Energy ... -3.613 eV/atom
# Total moment ... 2.1 μB/f.u.
# Mass density ... 6.5 Mg/m³
data_BaTbFe
_symmetry_space_group_name_H-M 'F -4 3 m'
_symmetry_Int_Tables_number 216
_symmetry_space_group_name_Hall 'F -4 2 3'
_cell_length_a 7.117
_cell_length_b 7.117
_cell_length_c 7.117
_cell_angle_alpha 90.00
_cell_angle_beta 90.00
_cell_angle_gamma 90.00
loop_
_atom_site_label
_atom_site_fract_x
_atom_site_fract_y
_atom_site_fract_z
Ba1 0.000 0.000 0.000
Tb1 0.250 0.250 0.250
Fe1 0.250 0.250 0.750



(2)
# InGa3Pd4, optimized geometry, DFT PBE
# Energy ... -4.668 eV/atom
# Mass density ... 9.6 Mg/m³
data_InGa3Pd4
_symmetry_space_group_name_H-M 'R 3'
_symmetry_Int_Tables_number 146
_symmetry_space_group_name_Hall 'R 3'
_cell_length_a 7.0785
_cell_length_b 7.0785
_cell_length_c 8.9198
_cell_angle_alpha 90.00
_cell_angle_beta 90.00
_cell_angle_gamma 120.00
loop_
_atom_site_label
_atom_site_fract_x
_atom_site_fract_y
_atom_site_fract_z
In1 0.0000 0.0000 0.0000
Ga1 0.0447 0.2710 0.4591
Pd1 0.0000 0.0000 0.6959
Pd2 0.0899 0.6805 0.8987



(3)
# CuAs3C, optimized geometry, DFT PBE
# Energy ... -4.879 eV/atom
# Mass density ... 5.5 Mg/m³
data_CuAs3C
_symmetry_space_group_name_H-M 'P 1'
_symmetry_Int_Tables_number 1
_cell_length_a 3.002
_cell_length_b 5.352
_cell_length_c 6.139
_cell_angle_alpha 69.68
_cell_angle_beta 79.73
_cell_angle_gamma 89.64
loop_
_symmetry_equiv_pos_as_xyz
'x,y,z'
loop_
_atom_site_label
_atom_site_fract_x
_atom_site_fract_y
_atom_site_fract_z
Cu1 0.000 0.000 0.000
As1 0.018 0.569 0.927
As2 0.615 0.243 0.674
As3 0.685 0.939 0.407
C1 0.600 0.620 0.697



(4)
# Ac3Zn4, optimized geometry, DFT PBE
# Energy ... -2.605 eV/atom
# Relative energy among the computed polymorphs ... 0.000 eV/atom
# Total moment ... 0.1 μB/f.u.
# Energy of formation ... -123 meV/atom
# Mass density ... 8.0 Mg/m³
data_Ac3Zn4
_symmetry_space_group_name_H-M 'P 63/m'
_symmetry_Int_Tables_number 176
_symmetry_space_group_name_Hall '-P 6c'
_cell_length_a 9.7032
_cell_length_b 9.7032
_cell_length_c 4.7856
_cell_angle_alpha 90.00
_cell_angle_beta 90.00
_cell_angle_gamma 120.00
loop_
_atom_site_label
_atom_site_fract_x
_atom_site_fract_y
_atom_site_fract_z
Ac1 0.1045 0.6747 0.2500
Zn1 0.0371 0.8590 0.7500
Zn2 0.3333 0.6667 0.7500



(5)
# TlTeIr, optimized geometry, DFT PBE
# Energy ... -4.589 eV/atom
# Relative energy among the computed polymorphs ... 0.000 eV/atom
# Total moment ... 0.0 μB/f.u.
# Mass density ... 12.2 Mg/m³
data_TlTeIr
_symmetry_space_group_name_H-M 'F -4 3 m'
_symmetry_Int_Tables_number 216
_symmetry_space_group_name_Hall 'F -4 2 3'
_cell_length_a 6.578
_cell_length_b 6.578
_cell_length_c 6.578
_cell_angle_alpha 90.00
_cell_angle_beta 90.00
_cell_angle_gamma 90.00
loop_
_atom_site_label
_atom_site_fract_x
_atom_site_fract_y
_atom_site_fract_z
Tl1 0.000 0.000 0.000
Te1 0.000 0.000 0.500
Ir1 0.250 0.250 0.750



(6)
# SrPrCdAs2, optimized geometry, DFT PBE
# Energy ... -4.239 eV/atom
# Total moment ... 0.0 μB/f.u.
# Mass density ... 5.9 Mg/m³
data_SrPrCdAs2
_symmetry_space_group_name_H-M 'C m c 21'
_symmetry_Int_Tables_number 36
_cell_length_a 4.378
_cell_length_b 17.877
_cell_length_c 7.057
_cell_angle_alpha 90.00
_cell_angle_beta 90.00
_cell_angle_gamma 90.00
loop_
_symmetry_equiv_pos_as_xyz
'x,y,z'
'-x,-y,z+1/2'
'-x,y,z'
'x,-y,z+1/2'
'x+1/2,y+1/2,z'
'-x+1/2,-y+1/2,z+1/2'
'-x+1/2,y+1/2,z'
'x+1/2,-y+1/2,z+1/2'
loop_
_atom_site_label
_atom_site_fract_x
_atom_site_fract_y
_atom_site_fract_z
Sr1 0.000 0.200 0.000
Pr1 0.000 0.029 0.672
Cd1 0.000 0.396 0.840
As1 0.000 0.175 0.470
As2 0.000 0.433 0.464